The following is a DFT calculation (GGA-PBE) of a relaxed structure of TaMnIr4.

Cell lengths 5.1497, 5.1497, 5.1497 Å; angles 60.00, 60.00, 60.00 degrees
Fractional coordinates of all 6 atoms:
Ta 0.0000 0.0000 0.0000
Mn 0.2500 0.2500 0.2500
Ir 0.1265 0.6245 0.6245
Ir 0.6245 0.1265 0.6245
Ir 0.6245 0.6245 0.1265
Ir 0.6245 0.6245 0.6245

DOS at the Fermi energy in states/eV/cell: 5.3
Space group: F-43m, No. 216
V in Å³/atom: 16.09
Total energy in eV/atom: -9.455
Magnetic moment in μB per cell: 4.7


The following is a DFT calculation (GGA-PBE) of a relaxed structure of Dy2MgGa2Pd5.

Cell lengths 9.8500, 9.8500, 3.7687 Å; angles 90.00, 90.00, 90.00 degrees
Fractional coordinates of all 20 atoms:
Dy 0.1749 0.3251 0.0000
Dy 0.3251 0.8251 0.0000
Dy 0.6749 0.1749 0.0000
Dy 0.8251 0.6749 0.0000
Mg 0.0000 0.0000 0.0000
Mg 0.5000 0.5000 0.0000
Ga 0.1236 0.6236 0.0000
Ga 0.3764 0.1236 0.0000
Ga 0.6236 0.8764 0.0000
Ga 0.8764 0.3764 0.0000
Pd 0.0000 0.5000 0.5000
Pd 0.0646 0.7919 0.5000
Pd 0.2081 0.0646 0.5000
Pd 0.2919 0.5646 0.5000
Pd 0.4354 0.2919 0.5000
Pd 0.5000 0.0000 0.5000
Pd 0.5646 0.7081 0.5000
Pd 0.7081 0.4354 0.5000
Pd 0.7919 0.9354 0.5000
Pd 0.9354 0.2081 0.5000

DOS at the Fermi energy in states/eV/cell: 14.7
Space group: P4/mbm, No. 127
V in Å³/atom: 18.28
Total energy in eV/atom: -5.036
Magnetic moment in μB per cell: 0.0


The following is a DFT calculation (GGA-PBE) of a relaxed structure of InPtRh2.

Cell lengths 9.2625, 2.9117, 4.8207 Å; angles 90.00, 101.07, 90.00 degrees
Fractional coordinates of all 8 atoms:
In 0.0000 0.0000 0.0000
In 0.5000 0.5000 0.0000
Pt 0.2522 0.5000 0.2595
Pt 0.7522 0.0000 0.2595
Rh 0.0034 0.5000 0.5067
Rh 0.2503 0.0000 0.7362
Rh 0.5034 0.0000 0.5067
Rh 0.7503 0.5000 0.7362

DOS at the Fermi energy in states/eV/cell: 9.5
Space group: Cm, No. 8
V in Å³/atom: 15.95
Total energy in eV/atom: -6.054
Magnetic moment in μB per cell: 0.0


The following is a DFT calculation (GGA-PBE) of a relaxed structure of ZrBeAl2.

Cell lengths 6.3449, 6.3449, 6.3449 Å; angles 90.00, 90.00, 90.00 degrees
Fractional coordinates of all 16 atoms:
Zr 0.0000 0.0000 0.0000
Zr 0.0000 0.5000 0.5000
Zr 0.5000 0.0000 0.5000
Zr 0.5000 0.5000 0.0000
Be 0.2500 0.2500 0.7500
Be 0.2500 0.7500 0.2500
Be 0.7500 0.2500 0.2500
Be 0.7500 0.7500 0.7500
Al 0.0000 0.0000 0.5000
Al 0.0000 0.5000 0.0000
Al 0.2500 0.2500 0.2500
Al 0.2500 0.7500 0.7500
Al 0.5000 0.0000 0.0000
Al 0.5000 0.5000 0.5000
Al 0.7500 0.2500 0.7500
Al 0.7500 0.7500 0.2500

DOS at the Fermi energy in states/eV/cell: 11.6
Space group: F-43m, No. 216
V in Å³/atom: 15.96
Total energy in eV/atom: -4.848
Magnetic moment in μB per cell: 0.0


The following is a DFT calculation (GGA-PBE) of a relaxed structure of Zr2InPRu.

Cell lengths 5.0995, 5.0995, 4.4057 Å; angles 90.00, 90.00, 90.00 degrees
Fractional coordinates of all 5 atoms:
Zr 0.0000 0.5000 0.0000
Zr 0.5000 0.0000 0.0000
In 0.0000 0.0000 0.5000
P 0.5000 0.5000 0.5000
Ru 0.5000 0.5000 0.0000

DOS at the Fermi energy in states/eV/cell: 4.4
Space group: P4/mmm, No. 123
V in Å³/atom: 22.91
Total energy in eV/atom: -6.853
Magnetic moment in μB per cell: 0.0
ΔE to the lowest computed polymorph in meV/atom: 326


The following is a DFT calculation (GGA-PBE) of a relaxed structure of BeTeAs2.

Cell lengths 5.7652, 7.4278, 3.7489 Å; angles 90.00, 90.00, 90.00 degrees
Fractional coordinates of all 8 atoms:
Be 0.0000 0.0000 0.0000
Be 0.5000 0.5000 0.0000
Te 0.0000 0.5000 0.0000
Te 0.5000 0.0000 0.0000
As 0.2500 0.2500 0.5000
As 0.2500 0.7500 0.5000
As 0.7500 0.2500 0.5000
As 0.7500 0.7500 0.5000

DOS at the Fermi energy in states/eV/cell: 4.4
Space group: Cmmm, No. 65
V in Å³/atom: 20.07
Total energy in eV/atom: -3.342
Magnetic moment in μB per cell: 0.0
ΔE to the lowest computed polymorph in meV/atom: 645
Formation energy without anion corrections in eV/atom: 0.70